# 1
Computed, not measured: crystalline SrCa3Pt at its relaxed geometry at the PBE-GGA level of DFT.

Unit cell a=4.211 b=9.497 c=9.497 alpha=68.18 beta=90.00 gamma=90.00
Fractional coordinates of all 10 atoms:
1 Sr 0.000 0.203 0.797
2 Sr 0.000 0.797 0.203
3 Ca 0.000 0.038 0.473
4 Ca 0.000 0.473 0.038
5 Ca 0.000 0.615 0.615
6 Ca 0.500 0.146 0.146
7 Ca 0.500 0.411 0.411
8 Ca 0.500 0.800 0.800
9 Pt 0.500 0.430 0.847
10 Pt 0.500 0.847 0.430

energy above the most stable polymorph in this dataset	0.020	eV per atom
V	35.26	A^3/atom
final energy	-3.21	eV per atom
ΔE_f	-0.463	eV/atom

***

# 2
Computed, not measured: crystalline Sr2CaPt at its relaxed geometry at the PBE-GGA level of DFT.

Unit cell a=8.804 b=8.804 c=8.804 alpha=155.34 beta=148.50 gamma=40.41
Fractional coordinates of all 4 atoms:
1 Sr 0.157 0.157 0.000
2 Sr 0.843 0.843 0.000
3 Ca 0.500 0.000 0.500
4 Pt 0.000 0.500 0.500

energy above the most stable polymorph in this dataset	0.136	eV per atom
V	37.12	A^3/atom
final energy	-3.28	eV per atom
ΔE_f	-0.426	eV/atom

***

# 3
Computed, not measured: crystalline SrCaPt4 at its relaxed geometry at the PBE-GGA level of DFT.

Unit cell a=5.515 b=5.515 c=5.515 alpha=60.00 beta=60.00 gamma=60.00
Fractional coordinates of all 6 atoms:
1 Sr 0.000 0.000 0.000
2 Ca 0.250 0.250 0.250
3 Pt 0.126 0.625 0.625
4 Pt 0.625 0.126 0.625
5 Pt 0.625 0.625 0.126
6 Pt 0.625 0.625 0.625

V	19.76	A^3/atom
final energy	-5.54	eV per atom
ΔE_f	-0.898	eV/atom

***

# 4
Computed, not measured: crystalline SrCa3Pt at its relaxed geometry at the PBE-GGA level of DFT.

Unit cell a=7.666 b=7.666 c=6.768 alpha=90.00 beta=90.00 gamma=108.24
Fractional coordinates of all 10 atoms:
1 Sr 0.076 0.924 0.750
2 Sr 0.924 0.076 0.250
3 Ca 0.023 0.594 0.250
4 Ca 0.406 0.977 0.250
5 Ca 0.500 0.500 0.000
6 Ca 0.500 0.500 0.500
7 Ca 0.594 0.023 0.750
8 Ca 0.977 0.406 0.750
9 Pt 0.309 0.691 0.750
10 Pt 0.691 0.309 0.250

energy above the most stable polymorph in this dataset	0.173	eV per atom
V	37.78	A^3/atom
final energy	-3.06	eV per atom
ΔE_f	-0.310	eV/atom

***

# 5
Computed, not measured: crystalline SrCa3Pt at its relaxed geometry at the PBE-GGA level of DFT.

Unit cell a=8.081 b=7.050 c=6.725 alpha=90.00 beta=90.00 gamma=90.00
Fractional coordinates of all 10 atoms:
1 Sr 0.000 0.162 0.000
2 Sr 0.500 0.838 0.500
3 Ca 0.000 0.827 0.505
4 Ca 0.248 0.340 0.506
5 Ca 0.252 0.660 0.006
6 Ca 0.500 0.173 0.005
7 Ca 0.748 0.660 0.006
8 Ca 0.752 0.340 0.506
9 Pt 0.000 0.509 0.752
10 Pt 0.500 0.491 0.252

energy above the most stable polymorph in this dataset	0.013	eV per atom
V	38.31	A^3/atom
final energy	-3.22	eV per atom
ΔE_f	-0.470	eV/atom

***

# 6
Computed, not measured: crystalline Sr2Ca2Pt at its relaxed geometry at the PBE-GGA level of DFT.

Unit cell a=7.636 b=7.636 c=6.384 alpha=90.00 beta=90.00 gamma=90.00
Fractional coordinates of all 10 atoms:
1 Sr 0.180 0.320 0.000
2 Sr 0.320 0.820 0.000
3 Sr 0.680 0.180 0.000
4 Sr 0.820 0.680 0.000
5 Ca 0.167 0.667 0.500
6 Ca 0.333 0.167 0.500
7 Ca 0.667 0.833 0.500
8 Ca 0.833 0.333 0.500
9 Pt 0.000 0.000 0.500
10 Pt 0.500 0.500 0.500

energy above the most stable polymorph in this dataset	0.206	eV per atom
V	37.22	A^3/atom
final energy	-2.88	eV per atom
ΔE_f	-0.199	eV/atom

***

# 7
Computed, not measured: crystalline Sr2CaPt at its relaxed geometry at the PBE-GGA level of DFT.

Unit cell a=5.613 b=5.613 c=5.613 alpha=60.00 beta=60.00 gamma=60.00
Fractional coordinates of all 4 atoms:
1 Sr 0.250 0.250 0.250
2 Sr 0.750 0.750 0.750
3 Ca 0.000 0.000 0.000
4 Pt 0.500 0.500 0.500

energy above the most stable polymorph in this dataset	0.444	eV per atom
V	31.25	A^3/atom
final energy	-2.97	eV per atom
ΔE_f	-0.118	eV/atom

***

# 8
Computed, not measured: crystalline SrCa2Pt at its relaxed geometry at the PBE-GGA level of DFT.

Unit cell a=3.676 b=3.676 c=9.737 alpha=90.00 beta=90.00 gamma=90.00
Fractional coordinates of all 4 atoms:
1 Sr 0.000 0.000 0.000
2 Ca 0.500 0.500 0.334
3 Ca 0.500 0.500 0.666
4 Pt 0.000 0.000 0.500

energy above the most stable polymorph in this dataset	0.122	eV per atom
V	32.90	A^3/atom
final energy	-3.40	eV per atom
ΔE_f	-0.473	eV/atom

***

# 9
Computed, not measured: crystalline SrCa3Pt at its relaxed geometry at the PBE-GGA level of DFT.

Unit cell a=9.484 b=7.258 c=13.295 alpha=90.00 beta=127.48 gamma=90.00
Fractional coordinates of all 20 atoms:
1 Sr 0.137 0.209 0.073
2 Sr 0.137 0.291 0.573
3 Sr 0.863 0.709 0.427
4 Sr 0.863 0.791 0.927
5 Ca 0.072 0.586 0.791
6 Ca 0.072 0.914 0.291
7 Ca 0.350 0.698 0.182
8 Ca 0.350 0.802 0.682
9 Ca 0.436 0.226 0.966
10 Ca 0.436 0.274 0.466
11 Ca 0.564 0.726 0.534
12 Ca 0.564 0.774 0.034
13 Ca 0.650 0.198 0.318
14 Ca 0.650 0.302 0.818
15 Ca 0.928 0.086 0.709
16 Ca 0.928 0.414 0.209
17 Pt 0.213 0.589 0.454
18 Pt 0.213 0.911 0.954
19 Pt 0.787 0.089 0.046
20 Pt 0.787 0.411 0.546

energy above the most stable polymorph in this dataset	0.050	eV per atom
V	36.31	A^3/atom
final energy	-3.18	eV per atom
ΔE_f	-0.433	eV/atom

***

# 10
Computed, not measured: crystalline SrCaPt3 at its relaxed geometry at the PBE-GGA level of DFT.

Unit cell a=5.288 b=5.288 c=5.288 alpha=90.00 beta=90.00 gamma=90.00
Fractional coordinates of all 5 atoms:
1 Sr 0.000 0.000 0.000
2 Ca 0.500 0.500 0.500
3 Pt 0.000 0.000 0.500
4 Pt 0.000 0.500 0.000
5 Pt 0.500 0.000 0.000

energy above the most stable polymorph in this dataset	0.436	eV per atom
V	29.57	A^3/atom
final energy	-3.70	eV per atom
ΔE_f	0.662	eV/atom

***

# 11
Computed, not measured: crystalline SrCa3Pt at its relaxed geometry at the PBE-GGA level of DFT.

Unit cell a=5.853 b=5.853 c=5.853 alpha=83.45 beta=83.45 gamma=83.45
Fractional coordinates of all 5 atoms:
1 Sr 0.000 0.000 0.000
2 Ca 0.072 0.561 0.561
3 Ca 0.561 0.072 0.561
4 Ca 0.561 0.561 0.072
5 Pt 0.252 0.252 0.252

energy above the most stable polymorph in this dataset	0.317	eV per atom
V	39.38	A^3/atom
final energy	-2.91	eV per atom
ΔE_f	-0.165	eV/atom

***

# 12
Computed, not measured: crystalline Sr2CaPt2 at its relaxed geometry at the PBE-GGA level of DFT.

Unit cell a=6.636 b=6.636 c=6.636 alpha=131.36 beta=131.36 gamma=71.24
Fractional coordinates of all 5 atoms:
1 Sr 0.159 0.159 0.000
2 Sr 0.841 0.841 0.000
3 Ca 0.500 0.500 0.000
4 Pt 0.250 0.750 0.500
5 Pt 0.750 0.250 0.500

energy above the most stable polymorph in this dataset	0.467	eV per atom
V	32.23	A^3/atom
final energy	-3.78	eV per atom
ΔE_f	-0.293	eV/atom

***

# 13
Computed, not measured: crystalline SrCa3Pt at its relaxed geometry at the PBE-GGA level of DFT.

Unit cell a=9.122 b=9.122 c=10.958 alpha=116.27 beta=116.27 gamma=26.57
Fractional coordinates of all 10 atoms:
1 Sr 0.052 0.052 0.372
2 Sr 0.948 0.948 0.628
3 Ca 0.097 0.097 0.035
4 Ca 0.285 0.285 0.670
5 Ca 0.346 0.346 0.186
6 Ca 0.654 0.654 0.814
7 Ca 0.715 0.715 0.330
8 Ca 0.903 0.903 0.965
9 Pt 0.479 0.479 0.847
10 Pt 0.521 0.521 0.153

energy above the most stable polymorph in this dataset	0.075	eV per atom
V	36.32	A^3/atom
final energy	-3.15	eV per atom
ΔE_f	-0.408	eV/atom

***

# 14
Computed, not measured: crystalline SrCa3Pt at its relaxed geometry at the PBE-GGA level of DFT.

Unit cell a=9.748 b=9.748 c=8.764 alpha=109.50 beta=109.50 gamma=26.70
Fractional coordinates of all 10 atoms:
1 Sr 0.037 0.037 0.228
2 Sr 0.963 0.963 0.772
3 Ca 0.173 0.173 0.993
4 Ca 0.285 0.285 0.679
5 Ca 0.391 0.391 0.341
6 Ca 0.609 0.609 0.659
7 Ca 0.715 0.715 0.321
8 Ca 0.827 0.827 0.007
9 Pt 0.424 0.424 0.005
10 Pt 0.576 0.576 0.995

energy above the most stable polymorph in this dataset	0.060	eV per atom
V	35.15	A^3/atom
final energy	-3.17	eV per atom
ΔE_f	-0.423	eV/atom

***

# 15
Computed, not measured: crystalline Sr2CaPt2 at its relaxed geometry at the PBE-GGA level of DFT.

Unit cell a=7.916 b=7.916 c=4.442 alpha=90.00 beta=90.00 gamma=90.00
Fractional coordinates of all 10 atoms:
1 Sr 0.165 0.335 0.000
2 Sr 0.335 0.835 0.000
3 Sr 0.665 0.165 0.000
4 Sr 0.835 0.665 0.000
5 Ca 0.000 0.000 0.500
6 Ca 0.500 0.500 0.500
7 Pt 0.127 0.627 0.500
8 Pt 0.373 0.127 0.500
9 Pt 0.627 0.873 0.500
10 Pt 0.873 0.373 0.500

energy above the most stable polymorph in this dataset	0.000	eV per atom
V	27.83	A^3/atom
final energy	-4.25	eV per atom
ΔE_f	-0.760	eV/atom

***

# 16
Computed, not measured: crystalline SrCa3Pt at its relaxed geometry at the PBE-GGA level of DFT.

Unit cell a=9.878 b=9.878 c=7.835 alpha=101.33 beta=101.33 gamma=79.62
Fractional coordinates of all 20 atoms:
1 Sr 0.164 0.836 0.750
2 Sr 0.256 0.744 0.250
3 Sr 0.744 0.256 0.750
4 Sr 0.836 0.164 0.250
5 Ca 0.069 0.352 0.630
6 Ca 0.094 0.366 0.102
7 Ca 0.350 0.470 0.553
8 Ca 0.352 0.069 0.130
9 Ca 0.366 0.094 0.602
10 Ca 0.470 0.350 0.053
11 Ca 0.530 0.650 0.947
12 Ca 0.634 0.906 0.398
13 Ca 0.648 0.931 0.870
14 Ca 0.650 0.530 0.447
15 Ca 0.906 0.634 0.898
16 Ca 0.931 0.648 0.370
17 Pt 0.221 0.540 0.894
18 Pt 0.460 0.779 0.606
19 Pt 0.540 0.221 0.394
20 Pt 0.779 0.460 0.106

energy above the most stable polymorph in this dataset	0.109	eV per atom
V	36.35	A^3/atom
final energy	-3.12	eV per atom
ΔE_f	-0.374	eV/atom

***

# 17
Computed, not measured: crystalline Sr2CaPt2 at its relaxed geometry at the PBE-GGA level of DFT.

Unit cell a=8.724 b=8.724 c=3.548 alpha=90.00 beta=90.00 gamma=90.00
Fractional coordinates of all 10 atoms:
1 Sr 0.135 0.365 0.000
2 Sr 0.365 0.865 0.000
3 Sr 0.635 0.135 0.000
4 Sr 0.865 0.635 0.000
5 Ca 0.000 0.000 0.000
6 Ca 0.500 0.500 0.000
7 Pt 0.167 0.667 0.500
8 Pt 0.333 0.167 0.500
9 Pt 0.667 0.833 0.500
10 Pt 0.833 0.333 0.500

energy above the most stable polymorph in this dataset	0.265	eV per atom
V	27.00	A^3/atom
final energy	-3.98	eV per atom
ΔE_f	-0.496	eV/atom

***

# 18
Computed, not measured: crystalline SrCa3Pt at its relaxed geometry at the PBE-GGA level of DFT.

Unit cell a=4.027 b=7.620 c=7.620 alpha=57.52 beta=90.00 gamma=90.00
Fractional coordinates of all 5 atoms:
1 Sr 0.000 0.000 0.000
2 Ca 0.000 0.428 0.428
3 Ca 0.500 0.485 0.969
4 Ca 0.500 0.969 0.485
5 Pt 0.500 0.569 0.569

energy above the most stable polymorph in this dataset	0.322	eV per atom
V	39.44	A^3/atom
final energy	-2.91	eV per atom
ΔE_f	-0.160	eV/atom

***

# 19
Computed, not measured: crystalline SrCaPt at its relaxed geometry at the PBE-GGA level of DFT.

Unit cell a=4.308 b=4.308 c=6.690 alpha=90.00 beta=90.00 gamma=120.00
Fractional coordinates of all 3 atoms:
1 Sr 0.000 0.000 0.000
2 Ca 0.667 0.333 0.533
3 Pt 0.333 0.667 0.746

energy above the most stable polymorph in this dataset	0.120	eV per atom
V	35.84	A^3/atom
final energy	-3.87	eV per atom
ΔE_f	-0.629	eV/atom

***

# 20
Computed, not measured: crystalline SrCa2Pt at its relaxed geometry at the PBE-GGA level of DFT.

Unit cell a=7.518 b=7.518 c=7.518 alpha=100.10 beta=100.10 gamma=130.49
Fractional coordinates of all 8 atoms:
1 Sr 0.000 0.000 0.000
2 Sr 0.750 0.250 0.500
3 Ca 0.237 0.125 0.612
4 Ca 0.375 0.763 0.888
5 Ca 0.513 0.625 0.388
6 Ca 0.875 0.487 0.112
7 Pt 0.250 0.750 0.500
8 Pt 0.500 0.500 0.000

energy above the most stable polymorph in this dataset	0.187	eV per atom
V	36.68	A^3/atom
final energy	-3.34	eV per atom
ΔE_f	-0.408	eV/atom

***

# 21
Computed, not measured: crystalline Sr2CaPt at its relaxed geometry at the PBE-GGA level of DFT.

Unit cell a=8.131 b=8.131 c=8.131 alpha=97.18 beta=97.18 gamma=138.58
Fractional coordinates of all 8 atoms:
1 Sr 0.375 0.238 0.363
2 Sr 0.762 0.125 0.137
3 Sr 0.875 0.012 0.637
4 Sr 0.988 0.625 0.863
5 Ca 0.250 0.750 0.500
6 Ca 0.500 0.500 0.000
7 Pt 0.000 0.000 0.000
8 Pt 0.750 0.250 0.500

energy above the most stable polymorph in this dataset	0.171	eV per atom
V	41.59	A^3/atom
final energy	-3.24	eV per atom
ΔE_f	-0.390	eV/atom

***

# 22
Computed, not measured: crystalline SrCa2Pt at its relaxed geometry at the PBE-GGA level of DFT.

Unit cell a=6.605 b=6.605 c=3.896 alpha=105.60 beta=105.60 gamma=120.21
Fractional coordinates of all 4 atoms:
1 Sr 0.000 0.000 0.000
2 Ca 0.000 0.500 0.500
3 Ca 0.500 0.000 0.500
4 Pt 0.500 0.500 0.000

energy above the most stable polymorph in this dataset	0.557	eV per atom
V	30.92	A^3/atom
final energy	-2.97	eV per atom
ΔE_f	-0.038	eV/atom

***

# 23
Computed, not measured: crystalline Sr3Ca7Pt4 at its relaxed geometry at the PBE-GGA level of DFT.

Unit cell a=9.548 b=9.548 c=11.767 alpha=120.84 beta=120.84 gamma=27.83
Fractional coordinates of all 14 atoms:
1 Sr 0.000 0.000 0.000
2 Sr 0.309 0.309 0.290
3 Sr 0.691 0.691 0.710
4 Ca 0.000 0.000 0.500
5 Ca 0.173 0.173 0.425
6 Ca 0.316 0.316 0.975
7 Ca 0.491 0.491 0.734
8 Ca 0.509 0.509 0.266
9 Ca 0.684 0.684 0.025
10 Ca 0.827 0.827 0.575
11 Pt 0.112 0.112 0.822
12 Pt 0.324 0.324 0.724
13 Pt 0.676 0.676 0.276
14 Pt 0.888 0.888 0.178

V	30.37	A^3/atom
final energy	-3.69	eV per atom
ΔE_f	-0.604	eV/atom

***

# 24
Computed, not measured: crystalline Sr2CaPt at its relaxed geometry at the PBE-GGA level of DFT.

Unit cell a=7.456 b=7.456 c=7.456 alpha=150.33 beta=134.79 gamma=55.01
Fractional coordinates of all 4 atoms:
1 Sr 0.000 0.000 0.000
2 Sr 0.679 0.179 0.500
3 Ca 0.333 0.833 0.500
4 Pt 0.497 0.497 0.000

energy above the most stable polymorph in this dataset	0.127	eV per atom
V	36.18	A^3/atom
final energy	-3.29	eV per atom
ΔE_f	-0.435	eV/atom